(1)
Computed, not measured: NaCaErCl6 after structural relaxation at the PBE-GGA level of DFT.

Unit cell a=6.951 b=6.951 c=12.424 alpha=90.00 beta=90.00 gamma=120.00
Element x y z (fractional)
Na (0.000, 0.000, 0.000)
Na (0.000, 0.000, 0.500)
Ca (0.333, 0.667, 0.250)
Ca (0.667, 0.333, 0.750)
Er (0.667, 0.333, 0.250)
Er (0.333, 0.667, 0.750)
Cl (0.654, 0.640, 0.131)
Cl (0.986, 0.346, 0.131)
Cl (0.346, 0.986, 0.631)
Cl (0.014, 0.654, 0.869)
Cl (0.360, 0.346, 0.369)
Cl (0.986, 0.640, 0.369)
Cl (0.640, 0.986, 0.869)
Cl (0.654, 0.014, 0.369)
Cl (0.014, 0.360, 0.631)
Cl (0.360, 0.014, 0.131)
Cl (0.640, 0.654, 0.631)
Cl (0.346, 0.360, 0.869)

Properties
Symmetry = P-31c, No. 163
Theoretical density = 2.831 g/cm³
Total energy = -39.0 eV/f.u.
Formation energy without anion corrections = -2.225 eV per atom

***

(2)
Computed, not measured: LiYPb after structural relaxation at the PBE-GGA level of DFT.

Unit cell a=5.309 b=5.309 c=6.364 alpha=90.00 beta=90.00 gamma=120.00
Element x y z (fractional)
Pb (0.333, 0.667, 0.750)
Pb (0.667, 0.333, 0.250)
Y (0.333, 0.667, 0.250)
Y (0.667, 0.333, 0.750)
Li (0.000, 0.000, 0.000)
Li (0.000, 0.000, 0.500)

Properties
Energy of formation from the pure elements = -455.0 meV/atom
Symmetry = P6_3/mmc, No. 194
Theoretical density = 6.479 g/cm³
Total energy = -13.5 eV/f.u.